# FeRuOF2

A relaxed structure of FeRuOF2 (PBE with a Hubbard U, Alexandria).

Output
Its total DFT energy (no corrections) is -5.434 eV/atom.

Cell: 4.046 4.046 3.904 Å, 90.00 90.00 90.00°
Space group P4/mmm (No. 123)
One atom of each set of equivalent atoms:
Fe 0.000 0.000 0.000
Ru 0.500 0.500 0.500
O 0.000 0.000 0.500
F 0.000 0.500 0.000